46
Lattice="5.944 0.000 0.000 0.000 5.834 0.000 -4.181 0.000 11.547" Properties=species:S:1:pos:R:3 comment="Li2NiH8C2O10 (PBE with a Hubbard U, optimized geometry)" dos_ef_per_ev_atom=0.000 spacegroup="P2_1/c, No. 14" volume_a3_per_atom=8.70 total_energy_ev_per_atom=-5.702 pbc="T T T"
Li 0.792 1.417 1.689
Li -1.299 1.500 7.462
Li 3.062 4.334 4.085
Li 0.972 4.416 9.858
Ni 2.972 0.000 0.000
Ni 0.882 2.917 5.773
H -3.492 0.615 10.367
H -1.401 2.302 4.594
H -0.778 0.954 5.006
H -2.868 1.963 10.779
H 1.469 3.982 0.139
H -0.622 4.768 5.912
H -0.762 4.059 7.378
H 1.329 4.692 1.605
H 0.435 1.142 9.942
H 2.526 1.775 4.169
H 2.386 1.065 5.635
H 0.295 1.852 11.408
H 4.632 3.871 0.768
H 2.541 4.880 6.541
H 3.165 3.531 6.953
H 5.255 5.219 1.179
C -2.016 3.803 9.411
C 0.074 4.947 3.638
C 1.690 0.886 7.909
C 3.780 2.030 2.135
O -3.086 3.547 10.116
O -0.995 5.204 4.343
O -3.006 1.037 11.139
O -0.916 1.879 5.365
O -1.839 3.211 8.267
O 0.252 5.540 2.493
O 1.979 4.298 0.945
O -0.111 4.453 6.718
O 0.974 4.116 4.056
O -1.117 4.634 9.829
O 2.880 1.200 1.717
O 0.790 1.717 7.491
O 1.875 1.381 4.829
O -0.216 1.536 10.602
O 1.512 0.294 9.053
O 3.602 2.623 3.280
O 2.679 3.954 6.181
O 4.770 4.796 0.408
O 2.759 0.630 7.204
O 4.849 2.287 1.431